(1)
Material: SrCdCoGe2
Method: DFT, PBE
State: optimized geometry

Unit cell a=4.6662 b=4.6662 c=4.9915 alpha=90.00 beta=90.00 gamma=90.00
With the nearest neighbours (Å) after each atom.
Positions (direct):
Ge 0.5000 0.0000 0.0000  2 Co 2.33
Ge 0.0000 0.5000 0.0000  2 Co 2.33
Sr 0.5000 0.5000 0.5000  4 Cd 3.30, 8 Ge 3.42
Co 0.0000 0.0000 0.0000  4 Ge 2.33, 2 Cd 2.50
Cd 0.0000 0.0000 0.5000  2 Co 2.50

symmetry = P4/mmm (123)
E_tot = -19.73 eV/cell
crystal system = tetragonal
magnetization = 0.205 μB per cell
formation enthalpy at 0 K = -0.16 eV per atom


(2)
Material: TlCdCoGe2
Method: DFT, PBE
State: optimized geometry

Unit cell a=4.5601 b=4.5601 c=5.1647 alpha=90.00 beta=90.00 gamma=90.00
With the nearest neighbours (Å) after each atom.
Positions (direct):
Ge 0.5000 0.0000 0.0000  2 Co 2.28
Ge 0.0000 0.5000 0.0000  2 Co 2.28
Co 0.0000 0.0000 0.0000  4 Ge 2.28
Cd 0.0000 0.0000 0.5000  2 Co 2.58
Tl 0.5000 0.5000 0.5000  4 Cd 3.22, 8 Ge 3.44

symmetry = P4/mmm (123)
E_tot = -19.11 eV/cell
crystal system = tetragonal
magnetization = 0.000 μB per cell
formation enthalpy at 0 K = 0.10 eV per atom


(3)
Material: TlCd2CoGe
Method: DFT, PBE
State: optimized geometry

Unit cell a=5.1073 b=5.1073 c=4.4521 alpha=90.00 beta=90.00 gamma=90.00
With the nearest neighbours (Å) after each atom.
Positions (direct):
Ge 0.0000 0.0000 0.5000  2 Co 2.23
Co 0.0000 0.0000 0.0000  2 Ge 2.23
Cd 0.0000 0.5000 0.0000  2 Co 2.55
Cd 0.5000 0.0000 0.0000  2 Co 2.55
Tl 0.5000 0.5000 0.5000  8 Cd 3.39, 4 Ge 3.61

symmetry = P4/mmm (123)
E_tot = -15.44 eV/cell
crystal system = tetragonal
magnetization = 0.000 μB per cell
formation enthalpy at 0 K = 0.10 eV per atom


(4)
Material: CdCo2H2
Method: DFT, PBE
State: optimized geometry

Unit cell a=3.1557 b=3.1557 c=5.2288 alpha=72.44 beta=72.44 gamma=90.00
With the nearest neighbours (Å) after each atom.
Positions (direct):
H 0.2500 0.7500 0.5000  4 Co 1.71
H 0.7500 0.2500 0.5000  4 Co 1.71
Cd 0.0000 0.0000 0.0000  10 Co 2.81-3.03, 8 H 2.84
Co 0.6799 0.6799 0.6402  4 H 1.71
Co 0.3201 0.3201 0.3598  4 H 1.71

symmetry = I4/mmm (139)
E_tot = -21.20 eV/cell
crystal system = tetragonal
magnetization = 2.095 μB per cell
E above lowest polymorph = 0 meV/atom


(5)
Material: CdCo2H
Method: DFT, PBE
State: optimized geometry

Unit cell a=4.1216 b=4.1216 c=4.1216 alpha=60.00 beta=60.00 gamma=60.00
With the nearest neighbours (Å) after each atom.
Positions (direct):
Cd 0.5000 0.5000 0.5000  8 Co 2.52
Co 0.7500 0.7500 0.7500  4 Cd 2.52, 4 H 2.52
Co 0.2500 0.2500 0.2500  4 Cd 2.52, 4 H 2.52
H 0.0000 0.0000 0.0000  8 Co 2.52

symmetry = Fm-3m (225)
E_tot = -14.47 eV/cell
crystal system = cubic
magnetization = 2.287 μB per cell
E above lowest polymorph = 781 meV/atom


(6)
Material: CdCo2H
Method: DFT, PBE
State: optimized geometry

Unit cell a=5.1002 b=5.1002 c=5.1180 alpha=60.11 beta=60.11 gamma=90.00
With the nearest neighbours (Å) after each atom.
Positions (direct):
Cd 0.0000 0.0000 0.0000  12 Co 2.99-3.01, 4 Cd 3.13, 4 H 3.13
Cd 0.7500 0.2500 0.5000  12 Co 2.99-3.01, 4 Cd 3.13, 4 H 3.13
Co 0.3750 0.6254 0.7500  2 H 1.57
Co 0.3754 0.6250 0.2500  2 H 1.57
Co 0.3746 0.1250 0.2500  2 H 1.57
Co 0.8750 0.6246 0.7500  2 H 1.57
H 0.5000 0.5000 0.0000  4 Co 1.57
H 0.2500 0.7500 0.5000  4 Co 1.57

symmetry = I4_1/amd (141)
E_tot = -35.19 eV/cell
crystal system = tetragonal
magnetization = 5.033 μB per cell
E above lowest polymorph = 0 meV/atom


(7)
Material: CdCoH2
Method: DFT, PBE
State: optimized geometry

Unit cell a=4.1209 b=4.1209 c=5.3557 alpha=67.37 beta=67.37 gamma=90.00
With the nearest neighbours (Å) after each atom.
Positions (direct):
H 0.3750 0.5225 0.7500  2 Co 1.58
H 0.2725 0.6250 0.2500  2 Co 1.58
H 0.8750 0.7275 0.7500  2 Co 1.58
H 0.4775 0.1250 0.2500  2 Co 1.58
Cd 0.0000 0.0000 0.0000  4 H 2.24
Cd 0.7500 0.2500 0.5000  4 H 2.24
Co 0.2500 0.7500 0.5000  4 H 1.58
Co 0.5000 0.5000 0.0000  4 H 1.58

symmetry = I-42d (122)
E_tot = -27.95 eV/cell
crystal system = tetragonal
magnetization = 0.000 μB per cell
E above lowest polymorph = 32 meV/atom


(8)
Material: CdCoH3
Method: DFT, PBE
State: optimized geometry

Unit cell a=3.3936 b=3.3936 c=3.3936 alpha=90.00 beta=90.00 gamma=90.00
With the nearest neighbours (Å) after each atom.
Positions (direct):
H 0.0000 0.5000 0.0000  2 Co 1.70
H 0.5000 0.0000 0.0000  2 Co 1.70
H 0.0000 0.0000 0.5000  2 Co 1.70
Cd 0.5000 0.5000 0.5000  12 H 2.40
Co 0.0000 0.0000 0.0000  6 H 1.70

symmetry = Pm-3m (221)
E_tot = -17.30 eV/cell
crystal system = cubic
magnetization = 0.000 μB per cell
E above lowest polymorph = 56 meV/atom


(9)
Material: CdCo2H2
Method: DFT, PBE
State: optimized geometry

Unit cell a=6.6243 b=6.6243 c=2.5570 alpha=90.00 beta=90.00 gamma=90.00
With the nearest neighbours (Å) after each atom.
Positions (direct):
H 0.4092 0.0908 0.5000  1 H 1.70, 4 Co 1.87
H 0.9092 0.4092 0.5000  1 H 1.70, 4 Co 1.87
H 0.5908 0.9092 0.5000  1 H 1.70, 4 Co 1.87
H 0.0908 0.5908 0.5000  1 H 1.70, 4 Co 1.87
Co 0.6146 0.1146 0.0000  4 H 1.87
Co 0.1146 0.3854 0.0000  4 H 1.87
Co 0.8854 0.6146 0.0000  4 H 1.87
Co 0.3854 0.8854 0.0000  4 H 1.87
Cd 0.0000 0.0000 0.0000  2 Cd 2.56, 4 Co 2.66
Cd 0.5000 0.5000 0.0000  2 Cd 2.56, 4 Co 2.66

symmetry = P4/mbm (127)
E_tot = -37.52 eV/cell
crystal system = tetragonal
magnetization = 4.531 μB per cell
E above lowest polymorph = 488 meV/atom


(10)
Material: Cd3Co5H12
Method: DFT, PBE
State: optimized geometry

Unit cell a=9.3425 b=9.3425 c=9.3425 alpha=109.47 beta=109.47 gamma=109.47
With the nearest neighbours (Å) after each atom.
Positions (direct):
Co 0.6250 0.7500 0.8750  4 H 1.60
Co 0.8750 0.6250 0.7500  4 H 1.60
Co 0.0000 0.0000 0.5000  6 H 1.63
Co 0.5000 0.5000 0.5000  6 H 1.63
Co 0.2500 0.3750 0.6250  4 H 1.60
Co 0.2500 0.8750 0.1250  4 H 1.60
Co 0.3750 0.2500 0.1250  4 H 1.60
Co 0.1250 0.7500 0.3750  4 H 1.60
Co 0.3750 0.1250 0.7500  4 H 1.60
Co 0.7500 0.6250 0.3750  4 H 1.60
Co 0.1250 0.3750 0.2500  4 H 1.60
Co 0.0000 0.5000 0.0000  6 H 1.63
Co 0.7500 0.1250 0.8750  4 H 1.60
Co 0.5000 0.0000 0.0000  6 H 1.63
Co 0.6250 0.8750 0.2500  4 H 1.60
Co 0.5000 0.0000 0.5000  6 H 1.63
Co 0.5000 0.5000 0.0000  6 H 1.63
Co 0.0000 0.0000 0.0000  6 H 1.63
Co 0.0000 0.5000 0.5000  6 H 1.63
Co 0.8750 0.2500 0.6250  4 H 1.60
H 0.5868 0.5900 0.4063  2 Co 1.60-1.63
H 0.8162 0.4967 0.4100  2 Co 1.60-1.63
H 0.0900 0.4063 0.0868  2 Co 1.60-1.63
H 0.3162 0.4063 0.8195  2 Co 1.60-1.63
H 0.6838 0.5937 0.1805  2 Co 1.60-1.63
H 0.1805 0.0868 0.9967  2 Co 1.60-1.63
H 0.5033 0.3195 0.9132  2 Co 1.60-1.63
H 0.9100 0.3162 0.4967  2 Co 1.60-1.63
H 0.9132 0.0937 0.9100  2 Co 1.60-1.63
H 0.5900 0.5868 0.9063  2 Co 1.60-1.63
H 0.4100 0.9967 0.8162  2 Co 1.60-1.63
H 0.9063 0.0868 0.5900  2 Co 1.60-1.63
H 0.1838 0.6805 0.0937  2 Co 1.60-1.63
H 0.0937 0.9132 0.4100  2 Co 1.60-1.63
H 0.9063 0.8195 0.8162  2 Co 1.60-1.63
H 0.5937 0.9100 0.4132  2 Co 1.60-1.63
H 0.4967 0.8162 0.9100  2 Co 1.60-1.63
H 0.0868 0.9063 0.0900  2 Co 1.60-1.63
H 0.3195 0.8162 0.4063  2 Co 1.60-1.63
H 0.1805 0.0937 0.6838  2 Co 1.60-1.63
H 0.6805 0.1838 0.5937  2 Co 1.60-1.63
H 0.5937 0.6838 0.6805  2 Co 1.60-1.63
H 0.3195 0.5033 0.4132  2 Co 1.60-1.63
H 0.8195 0.9132 0.0033  2 Co 1.60-1.63
H 0.9100 0.5937 0.9132  2 Co 1.60-1.63
H 0.6838 0.0900 0.0033  2 Co 1.60-1.63
H 0.0033 0.4132 0.8195  2 Co 1.60-1.63
H 0.0033 0.5900 0.6838  2 Co 1.60-1.63
H 0.9967 0.4100 0.3162  2 Co 1.60-1.63
H 0.0937 0.1805 0.1838  2 Co 1.60-1.63
H 0.9132 0.8195 0.5033  2 Co 1.60-1.63
H 0.4100 0.4132 0.0937  2 Co 1.60-1.63
H 0.6805 0.4967 0.5868  2 Co 1.60-1.63
H 0.0868 0.1805 0.4967  2 Co 1.60-1.63
H 0.0900 0.6838 0.5033  2 Co 1.60-1.63
H 0.4132 0.4100 0.5937  2 Co 1.60-1.63
H 0.4063 0.3162 0.3195  2 Co 1.60-1.63
H 0.8162 0.3195 0.9063  2 Co 1.60-1.63
H 0.4063 0.0900 0.5868  2 Co 1.60-1.63
H 0.5868 0.9967 0.6805  2 Co 1.60-1.63
H 0.8195 0.9063 0.3162  2 Co 1.60-1.63
H 0.3162 0.9100 0.9967  2 Co 1.60-1.63
H 0.5900 0.0033 0.1838  2 Co 1.60-1.63
H 0.4132 0.0033 0.3195  2 Co 1.60-1.63
H 0.5033 0.1838 0.0900  2 Co 1.60-1.63
H 0.1838 0.5033 0.5900  2 Co 1.60-1.63
H 0.4967 0.6805 0.0868  2 Co 1.60-1.63
H 0.9967 0.5868 0.1805  2 Co 1.60-1.63
Cd 0.1250 0.2500 0.8750  8 H 2.23-2.28
Cd 0.7500 0.8750 0.6250  8 H 2.23-2.28
Cd 0.1250 0.8750 0.7500  8 H 2.23-2.28
Cd 0.3750 0.7500 0.6250  8 H 2.23-2.28
Cd 0.7500 0.3750 0.1250  8 H 2.23-2.28
Cd 0.6250 0.2500 0.3750  8 H 2.23-2.28
Cd 0.2500 0.6250 0.8750  8 H 2.23-2.28
Cd 0.3750 0.6250 0.2500  8 H 2.23-2.28
Cd 0.8750 0.7500 0.1250  8 H 2.23-2.28
Cd 0.6250 0.3750 0.7500  8 H 2.23-2.28
Cd 0.2500 0.1250 0.3750  8 H 2.23-2.28
Cd 0.8750 0.1250 0.2500  8 H 2.23-2.28

symmetry = Ia-3d (230)
E_tot = -296.07 eV/cell
crystal system = cubic
magnetization = 0.002 μB per cell


(11)
Material: CdCoH
Method: DFT, PBE
State: optimized geometry

Unit cell a=2.9212 b=2.9212 c=4.4719 alpha=90.00 beta=90.00 gamma=120.00
With the nearest neighbours (Å) after each atom.
Positions (direct):
H 0.3333 0.6667 0.5010  3 Co 1.69
Cd 0.0000 0.0000 0.9996  6 H 2.80-2.81, 6 Co 2.80, 6 Cd 2.92
Co 0.6667 0.3333 0.4994  3 H 1.69

symmetry = P3m1 (156)
E_tot = -10.92 eV/cell
crystal system = trigonal
magnetization = 0.515 μB per cell
E above lowest polymorph = 0 meV/atom


(12)
Material: CdCoH2
Method: DFT, PBE
State: optimized geometry

Unit cell a=3.7417 b=3.7417 c=3.7417 alpha=60.00 beta=60.00 gamma=60.00
With the nearest neighbours (Å) after each atom.
Positions (direct):
Co 0.0000 0.0000 0.0000  8 H 2.29
Cd 0.5000 0.5000 0.5000  8 H 2.29
H 0.7500 0.7500 0.7500  4 Cd 2.29, 4 Co 2.29
H 0.2500 0.2500 0.2500  4 Cd 2.29, 4 Co 2.29

symmetry = Fm-3m (225)
E_tot = -11.72 eV/cell
crystal system = cubic
magnetization = 0.000 μB per cell
E above lowest polymorph = 596 meV/atom


Question: What is the magnetization in the fifth record?
Answer: 2.287 μB per cell


Question: Number 11 is which compound?
Answer: CdCoH